(1)
! SrTiO2 | Alexandria via LeMat-Bulk | PBE-GGA | optimized geometry; values from VASP
! SG	Fm-3m
! N(E_F)	0.00	states/eV/atom
! ΔE_f (raw)	-1.74	eV/atom
! crystal system	cubic
&SYSTEM
  ibrav = 0, nat = 4, ntyp = 3
/
ATOMIC_SPECIES
Sr 87.62 Sr.upf
O 16.00 O.upf
Ti 47.87 Ti.upf
CELL_PARAMETERS angstrom
0.000 2.945 2.945
2.945 0.000 2.945
2.945 2.945 0.000
ATOMIC_POSITIONS crystal
Sr 0.500 0.500 0.500
O 0.250 0.250 0.250
O 0.750 0.750 0.750
Ti 0.000 0.000 0.000

***

(2)
! Sr2Ti2O5 | Alexandria via LeMat-Bulk | PBE-GGA | optimized geometry; values from VASP
! SG	Cmmm
! N(E_F)	0.48	states/eV/atom
! ΔE_f (raw)	-2.87	eV/atom
! crystal system	orthorhombic
&SYSTEM
  ibrav = 0, nat = 9, ntyp = 3
/
ATOMIC_SPECIES
Sr 87.62 Sr.upf
Ti 47.87 Ti.upf
O 16.00 O.upf
CELL_PARAMETERS angstrom
-0.926 3.305 4.392
-5.469 -0.502 -0.949
-0.117 -3.144 2.341
ATOMIC_POSITIONS crystal
Sr 0.755 0.245 0.000
Sr 0.245 0.755 0.000
Ti 0.750 0.750 0.500
Ti 0.250 0.250 0.500
O 0.000 0.500 0.500
O 0.500 0.000 0.500
O 0.721 0.721 0.000
O 0.279 0.279 0.000
O 0.000 0.000 0.500

***

(3)
! SrTi2O4 | Alexandria via LeMat-Bulk | PBE-GGA | optimized geometry; values from VASP
! SG	Cmcm
! N(E_F)	0.34	states/eV/atom
! ΔE_f (raw)	-2.87	eV/atom
! crystal system	orthorhombic
&SYSTEM
  ibrav = 0, nat = 14, ntyp = 3
/
ATOMIC_SPECIES
Sr 87.62 Sr.upf
Ti 47.87 Ti.upf
O 16.00 O.upf
CELL_PARAMETERS angstrom
-3.039 0.763 0.579
0.527 -5.126 0.757
2.311 1.698 9.891
ATOMIC_POSITIONS crystal
Sr 0.619 0.238 0.750
Sr 0.381 0.762 0.250
Ti 0.124 0.248 0.438
Ti 0.876 0.752 0.938
Ti 0.124 0.248 0.062
Ti 0.876 0.752 0.562
O 0.763 0.526 0.100
O 0.763 0.526 0.400
O 0.237 0.474 0.900
O 0.237 0.474 0.600
O 0.925 0.850 0.750
O 0.075 0.150 0.250
O 0.500 0.000 0.000
O 0.500 0.000 0.500

***

(4)
! SrTiO3 | Alexandria via LeMat-Bulk | PBE-GGA | optimized geometry; values from VASP
! SG	R-3
! N(E_F)	0.00	states/eV/atom
! ΔE_f (raw)	-3.04	eV/atom
! crystal system	trigonal
&SYSTEM
  ibrav = 0, nat = 10, ntyp = 3
/
ATOMIC_SPECIES
Sr 87.62 Sr.upf
O 16.00 O.upf
Ti 47.87 Ti.upf
CELL_PARAMETERS angstrom
5.433 0.000 0.001
2.717 4.705 0.000
2.716 1.569 5.323
ATOMIC_POSITIONS crystal
Sr 0.631 0.631 0.107
Sr 0.369 0.369 0.893
O 0.566 0.990 0.283
O 0.161 0.566 0.283
O 0.010 0.839 0.717
O 0.990 0.161 0.283
O 0.839 0.434 0.717
O 0.434 0.010 0.717
Ti 0.848 0.848 0.456
Ti 0.152 0.152 0.544

***

(5)
! SrTi4O8 | Alexandria via LeMat-Bulk | PBE-GGA | optimized geometry; values from VASP
! SG	R-3m
! N(E_F)	0.48	states/eV/atom
! ΔE_f (raw)	-2.97	eV/atom
! crystal system	trigonal
&SYSTEM
  ibrav = 0, nat = 13, ntyp = 3
/
ATOMIC_SPECIES
Sr 87.62 Sr.upf
Ti 47.87 Ti.upf
O 16.00 O.upf
CELL_PARAMETERS angstrom
-2.508 -3.654 3.955
-3.936 -4.071 -1.795
2.345 -6.554 -0.107
ATOMIC_POSITIONS crystal
Sr 0.500 0.500 0.500
Ti 0.000 0.500 0.000
Ti 0.500 0.500 0.000
Ti 0.500 0.000 0.000
Ti 0.000 0.000 0.000
O 0.721 0.230 0.820
O 0.770 0.279 0.180
O 0.279 0.770 0.180
O 0.770 0.770 0.180
O 0.722 0.722 0.834
O 0.278 0.278 0.166
O 0.230 0.230 0.820
O 0.230 0.721 0.820

***

(6)
! SrTiTl2O6 | Alexandria via LeMat-Bulk | PBE-GGA | optimized geometry; values from VASP
! SG	C2/c
! ΔE_f (raw)	-1.79	eV/atom
! crystal system	monoclinic
&SYSTEM
  ibrav = 0, nat = 20, ntyp = 4
/
ATOMIC_SPECIES
Sr 87.62 Sr.upf
Ti 47.87 Ti.upf
Tl 204.38 Tl.upf
O 16.00 O.upf
CELL_PARAMETERS angstrom
-2.590 6.044 2.184
-7.276 0.761 -2.127
-3.657 -0.853 6.629
ATOMIC_POSITIONS crystal
Sr 0.250 0.826 0.174
Sr 0.750 0.174 0.826
Ti 0.250 0.178 0.822
Ti 0.750 0.822 0.178
Tl 0.314 0.724 0.651
Tl 0.186 0.349 0.276
Tl 0.686 0.276 0.349
Tl 0.814 0.651 0.724
O 0.192 0.958 0.834
O 0.308 0.166 0.042
O 0.808 0.042 0.166
O 0.692 0.834 0.958
O 0.502 0.808 0.363
O 0.998 0.637 0.192
O 0.498 0.192 0.637
O 0.002 0.363 0.808
O 0.054 0.772 0.545
O 0.446 0.455 0.228
O 0.946 0.228 0.455
O 0.554 0.545 0.772

***

(7)
! Sr2TiTlO5 | Alexandria via LeMat-Bulk | PBE-GGA | optimized geometry; values from VASP
! SG	Cmc2_1
! N(E_F)	0.33	states/eV/atom
! ΔE_f (raw)	-2.36	eV/atom
! crystal system	orthorhombic
&SYSTEM
  ibrav = 0, nat = 18, ntyp = 4
/
ATOMIC_SPECIES
Sr 87.62 Sr.upf
Ti 47.87 Ti.upf
Tl 204.38 Tl.upf
O 16.00 O.upf
CELL_PARAMETERS angstrom
-1.262 -2.649 1.931
7.453 -2.414 -1.635
3.263 4.473 8.269
ATOMIC_POSITIONS crystal
Sr 0.873 0.746 0.787
Sr 0.110 0.221 0.691
Sr 0.127 0.254 0.287
Sr 0.890 0.779 0.191
Ti 0.522 0.043 0.959
Ti 0.478 0.957 0.459
Tl 0.774 0.549 0.498
Tl 0.226 0.451 0.998
O 0.397 0.794 0.002
O 0.642 0.284 0.891
O 0.492 0.983 0.781
O 0.277 0.555 0.679
O 0.963 0.927 0.536
O 0.603 0.206 0.502
O 0.358 0.716 0.391
O 0.508 0.017 0.281
O 0.723 0.445 0.179
O 0.037 0.073 0.036

***

(8)
! Sr4TmTi3O12 | Alexandria via LeMat-Bulk | PBE-GGA | optimized geometry; values from VASP
! SG	Im-3m
! N(E_F)	0.57	states/eV/atom
! ΔE_f (raw)	-3.03	eV/atom
! crystal system	cubic
&SYSTEM
  ibrav = 0, nat = 20, ntyp = 4
/
ATOMIC_SPECIES
Sr 87.62 Sr.upf
Tm 168.93 Tm.upf
Ti 47.87 Ti.upf
O 16.00 O.upf
CELL_PARAMETERS angstrom
-3.663 3.862 -4.548
-0.957 -6.792 -1.404
-2.182 1.367 6.511
ATOMIC_POSITIONS crystal
Sr 0.500 0.500 0.500
Sr 0.000 0.000 0.500
Sr 0.500 0.000 0.000
Sr 0.000 0.500 0.000
Tm 0.000 0.000 0.000
Ti 0.500 0.000 0.500
Ti 0.500 0.500 0.000
Ti 0.000 0.500 0.500
O 0.250 0.500 0.750
O 0.735 0.000 0.735
O 0.265 0.000 0.265
O 0.750 0.500 0.250
O 0.735 0.735 0.000
O 0.265 0.265 0.000
O 0.750 0.250 0.500
O 0.250 0.750 0.500
O 0.500 0.250 0.750
O 0.000 0.735 0.735
O 0.500 0.750 0.250
O 0.000 0.265 0.265

***

(9)
! SrUTiO6 | Alexandria via LeMat-Bulk | PBE-GGA | optimized geometry; values from VASP
! SG	P-31c
! N(E_F)	0.00	states/eV/atom
! ΔE_f (raw)	-3.15	eV/atom
! crystal system	trigonal
&SYSTEM
  ibrav = 0, nat = 18, ntyp = 4
/
ATOMIC_SPECIES
Sr 87.62 Sr.upf
U 238.03 U.upf
Ti 47.87 Ti.upf
O 16.00 O.upf
CELL_PARAMETERS angstrom
-0.979 -1.964 5.025
2.743 -3.041 -3.646
9.117 4.148 3.398
ATOMIC_POSITIONS crystal
Sr 0.000 0.000 0.000
Sr 0.000 0.000 0.500
U 0.667 0.333 0.250
U 0.333 0.667 0.750
Ti 0.333 0.667 0.250
Ti 0.667 0.333 0.750
O 0.619 0.632 0.148
O 0.014 0.381 0.148
O 0.381 0.014 0.648
O 0.986 0.619 0.852
O 0.368 0.381 0.352
O 0.014 0.632 0.352
O 0.632 0.014 0.852
O 0.619 0.986 0.352
O 0.986 0.368 0.648
O 0.368 0.986 0.148
O 0.632 0.619 0.648
O 0.381 0.368 0.852

***

| no. | total DFT energy (no corrections) (eV/f.u.) |
| --- | --- |
| 1 | -26.4 |
| 2 | -69.8 |
| 3 | -57.4 |
| 4 | -39.7 |
| 5 | -111.5 |
| 6 | -61.9 |
| 7 | -59.6 |
| 8 | -155.0 |
| 9 | -78.9 |